Entry 1:
First-principles (PBE) data for crystalline TiCdIO2 at its relaxed geometry, as listed in Alexandria via LeMat-Bulk.

## Properties
- Energy relative to the elements, uncorrected: 160 meV per atom
- Energy relative to the lowest polymorph listed for this composition: 1.407 eV per atom
- Total moment: 0.297 μB per atom

a = 4.2277 Å, b = 4.2277 Å, c = 5.8577 Å
α = 90.00°, β = 90.00°, γ = 90.00°
Space group P4/mmm (No. 123)
Unique sites:
1 Ti 0.0000 0.0000 0.0000 [1 per cell]
2 Cd 0.5000 0.5000 0.5000 [1 per cell]
3 I 0.5000 0.5000 0.0000 [1 per cell]
4 O 0.0000 0.5000 0.5000 [2 per cell]

Entry 2:
First-principles (PBE) data for crystalline K2PrF4 at its relaxed geometry, as listed in Alexandria via LeMat-Bulk.

## Properties
- Energy relative to the elements, uncorrected: -2962 meV per atom
- Total moment: 0.000 μB per atom

a = 4.7328 Å, b = 4.7328 Å, c = 15.4162 Å
α = 90.00°, β = 90.00°, γ = 90.00°
Space group I4/mmm (No. 139)
Unique sites:
1 K 0.0000 0.0000 0.1774 [4 per cell]
2 Pr 0.0000 0.0000 0.5000 [2 per cell]
3 F 0.0000 0.0000 0.3512 [4 per cell]
4 F 0.0000 0.5000 0.0000 [4 per cell]

Entry 3:
First-principles (PBE) data for crystalline ZrFeP at its relaxed geometry, as listed in Alexandria via LeMat-Bulk.

## Properties
- ΔE_f: 0.3 eV per formula unit
- Total moment: 0.693 μB per atom

a = 6.1035 Å, b = 6.1035 Å, c = 6.1035 Å
α = 90.00°, β = 90.00°, γ = 90.00°
Space group F-43m (No. 216)
Unique sites:
1 Zr 0.0000 0.0000 0.0000 [4 per cell]
2 Fe 0.2500 0.2500 0.2500 [4 per cell]
3 P 0.2500 0.2500 0.7500 [4 per cell]

Entry 4:
First-principles (PBE) data for crystalline ScWCl2 at its relaxed geometry, as listed in Alexandria via LeMat-Bulk.

## Properties
- Energy relative to the elements, uncorrected: -301 meV per atom
- Energy relative to the lowest polymorph listed for this composition: 0.168 eV per atom
- Total moment: 0.047 μB per atom

a = 13.5544 Å, b = 3.1270 Å, c = 4.7405 Å
α = 90.00°, β = 93.17°, γ = 90.00°
Space group C2/m (No. 12)
Unique sites:
1 Sc 0.0000 0.0000 0.0000 [2 per cell]
2 W 0.0000 0.5000 0.5000 [2 per cell]
3 Cl 0.1421 0.5000 0.2224 [4 per cell]

Entry 5:
First-principles (PBE) data for crystalline SnPAu3 at its relaxed geometry, as listed in Alexandria via LeMat-Bulk.

## Properties
- Energy relative to the lowest polymorph listed for this composition: 0.779 eV per atom
- ΔE_f: 5.0 eV per formula unit
- Total moment: 0.436 μB per atom

a = 5.2195 Å, b = 5.2195 Å, c = 5.2195 Å
α = 90.00°, β = 90.00°, γ = 90.00°
Space group Pm-3m (No. 221)
Unique sites:
1 Sn 0.0000 0.0000 0.0000 [1 per cell]
2 P 0.5000 0.5000 0.5000 [1 per cell]
3 Au 0.0000 0.0000 0.5000 [3 per cell]